w) The following is a DFT calculation (PBE) of an optimized crystal structure of YScAgPt.

Results
- Total magnetization: 0.00 μB/cell
- Crystal system: tetragonal
- Space group: P4mm (99)
- ρ: 8.68 g cm⁻³

Cell: 3.4539 3.4539 7.0083 Å, 90.00 90.00 90.00°
Closest atoms and distances in Å follow each position.
Fractional positions:
Y  0.0000  0.0000  0.0000  4 Pt 3.05, 4 Ag 3.17, 1 Sc 3.31
Sc  0.0000  0.0000  0.5275  4 Pt 2.86, 4 Ag 2.96
Ag  0.5000  0.5000  0.2881  4 Sc 2.96, 1 Pt 3.16, 4 Y 3.17
Pt  0.5000  0.5000  0.7390  4 Sc 2.86, 4 Y 3.05, 1 Ag 3.16


x) The following is a DFT calculation (PBE) of an optimized crystal structure of YScAgPt.

Results
- Total magnetization: 0.00 μB/cell
- Crystal system: cubic
- Space group: F-43m (216)
- ρ: 8.73 g cm⁻³

Cell: 4.8976 4.8976 4.8976 Å, 60.00 60.00 60.00°
Closest atoms and distances in Å follow each position.
Fractional positions:
Y  0.0000  0.0000  0.0000  4 Pt 3.00, 4 Ag 3.00
Sc  0.5000  0.5000  0.5000  4 Pt 3.00, 4 Ag 3.00
Ag  0.7500  0.7500  0.7500  4 Sc 3.00, 4 Y 3.00
Pt  0.2500  0.2500  0.2500  4 Sc 3.00, 4 Y 3.00


Ranked by calculated energy, most stable first: w), x).


w) The following is a DFT calculation (PBE) of an optimized crystal structure of AgPtSe3.

Results
- Total magnetization: 0.00 μB/cell
- Crystal system: trigonal
- Space group: R-3 (148)
- ρ: 8.25 g cm⁻³

Cell: 6.7088 6.7088 6.7088 Å, 60.79 60.79 60.79°
Closest atoms and distances in Å follow each position.
Fractional positions:
Ag  0.0955  0.0955  0.0955  3 Se 2.60
Ag  0.9045  0.9045  0.9045  3 Se 2.60
Pt  0.3340  0.3340  0.3340  6 Se 2.54
Pt  0.6660  0.6660  0.6660  6 Se 2.54
Se  0.0840  0.7045  0.4685  2 Pt 2.54, 1 Ag 2.60
Se  0.2955  0.5315  0.9160  2 Pt 2.54, 1 Ag 2.60
Se  0.4685  0.0840  0.7045  2 Pt 2.54, 1 Ag 2.60
Se  0.5315  0.9160  0.2955  2 Pt 2.54, 1 Ag 2.60
Se  0.7045  0.4685  0.0840  2 Pt 2.54, 1 Ag 2.60
Se  0.9160  0.2955  0.5315  2 Pt 2.54, 1 Ag 2.60


x) The following is a DFT calculation (PBE) of an optimized crystal structure of AgPtSe3.

Results
- Total magnetization: 1.53 μB/cell
- Crystal system: cubic
- Space group: Pm-3m (221)
- ρ: 7.10 g cm⁻³

Cell: 5.0164 5.0164 5.0164 Å, 90.00 90.00 90.00°
Closest atoms and distances in Å follow each position.
Fractional positions:
Ag  0.0000  0.0000  0.0000  12 Se 3.55
Pt  0.5000  0.5000  0.5000  6 Se 2.51
Se  0.0000  0.5000  0.5000  2 Pt 2.51
Se  0.5000  0.0000  0.5000  2 Pt 2.51
Se  0.5000  0.5000  0.0000  2 Pt 2.51


Ranked by calculated energy, most stable first: w), x).


w) The following is a DFT calculation (PBE) of an optimized crystal structure of TlZnAgPtSe.

Results
- Total magnetization: 0.00 μB/cell
- Crystal system: monoclinic
- Space group: Cm (8)
- ρ: 8.35 g cm⁻³

Cell: 6.9596 6.9596 4.9192 Å, 110.48 110.48 35.82°
Closest atoms and distances in Å follow each position.
Fractional positions:
Tl  0.0000  0.0000  0.0000  2 Pt 2.67
Zn  0.3156  0.3156  0.3176  2 Pt 2.47, 2 Se 2.57
Ag  0.5681  0.5681  0.5725  2 Pt 2.85, 2 Se 2.94-2.96, 1 Zn 3.11
Pt  0.9151  0.9151  0.4156  2 Zn 2.47, 1 Se 2.64, 2 Tl 2.67
Se  0.7004  0.7004  0.2052  2 Zn 2.57, 1 Pt 2.64


x) The following is a DFT calculation (PBE) of an optimized crystal structure of TlZnAgPtSe.

Results
- Total magnetization: 0.00 μB/cell
- Crystal system: monoclinic
- Space group: Cm (8)
- ρ: 9.98 g cm⁻³

Cell: 4.9974 4.9974 5.6209 Å, 100.07 100.07 51.94°
Closest atoms and distances in Å follow each position.
Fractional positions:
Tl  0.0000  0.0000  0.0000  3 Pt 2.88-2.95, 1 Ag 3.11, 1 Zn 3.19
Zn  0.7304  0.7304  0.2946  1 Se 2.49, 2 Pt 2.50
Ag  0.2321  0.2321  0.6551  2 Pt 2.82-3.03, 3 Se 2.84-2.86, 2 Zn 2.98, 1 Tl 3.11
Pt  0.3237  0.3237  0.1646  2 Zn 2.50, 1 Se 2.53
Se  0.5289  0.5289  0.5435  1 Zn 2.49, 1 Pt 2.53


y) The following is a DFT calculation (PBE) of an optimized crystal structure of TlZnAgPtSe.

Results
- Total magnetization: 0.00 μB/cell
- Crystal system: monoclinic
- Space group: Cm (8)
- ρ: 9.50 g cm⁻³

Cell: 6.8513 6.8513 4.5597 Å, 106.72 106.72 33.91°
Closest atoms and distances in Å follow each position.
Fractional positions:
Tl  0.0000  0.0000  0.0000  2 Pt 2.87-2.98, 4 Ag 3.02-3.05
Zn  0.2773  0.2773  0.0534  2 Se 2.52, 2 Pt 2.53
Ag  0.5115  0.5115  0.5056  1 Se 2.66, 2 Pt 2.81
Pt  0.8540  0.8540  0.3891  1 Se 2.53, 2 Zn 2.53, 2 Ag 2.81
Se  0.7243  0.7243  0.7029  2 Zn 2.52, 1 Pt 2.53, 1 Ag 2.66


Ranked by calculated energy, most stable first: x), y), w).


w) The following is a DFT calculation (PBE) of an optimized crystal structure of TlZnAgPtSe.

Results
- Total magnetization: 0.00 μB/cell
- Crystal system: monoclinic
- Space group: Cm (8)
- ρ: 10.10 g cm⁻³

Cell: 5.4340 5.4340 5.3332 Å, 101.66 101.66 44.22°
Closest atoms and distances in Å follow each position.
Fractional positions:
Tl  0.0000  0.0000  0.0000  3 Pt 2.87-2.99, 1 Zn 2.97
Zn  0.2432  0.2432  0.7681  1 Se 2.47, 2 Pt 2.56, 2 Ag 2.73
Ag  0.5934  0.5934  0.5071  1 Se 2.68, 2 Zn 2.73, 1 Pt 2.88
Pt  0.7209  0.7209  0.0455  2 Zn 2.56, 2 Se 2.70
Se  0.3212  0.3212  0.3605  1 Zn 2.47, 1 Ag 2.68, 2 Pt 2.70


x) The following is a DFT calculation (PBE) of an optimized crystal structure of TlZnAgPtSe.

Results
- Total magnetization: 0.00 μB/cell
- Crystal system: trigonal
- Space group: R3m (160)
- ρ: 9.10 g cm⁻³

Cell: 7.0964 7.0964 7.0964 Å, 37.54 37.54 37.54°
Closest atoms and distances in Å follow each position.
Fractional positions:
Tl  0.0000  0.0000  0.0000  1 Pt 2.81, 3 Se 2.95
Zn  0.8061  0.8061  0.8061  3 Pt 2.64, 3 Ag 2.74
Ag  0.4353  0.4353  0.4353  3 Zn 2.74, 3 Pt 2.75
Pt  0.1423  0.1423  0.1423  1 Se 2.44, 3 Zn 2.64
Se  0.2660  0.2660  0.2660  1 Pt 2.44


y) The following is a DFT calculation (PBE) of an optimized crystal structure of TlZnAgPtSe.

Results
- Total magnetization: 0.00 μB/cell
- Crystal system: triclinic
- Space group: P1 (1)
- ρ: 10.27 g cm⁻³

Cell: 2.9774 4.0034 9.0184 Å, 101.42 90.46 90.01°
Closest atoms and distances in Å follow each position.
Fractional positions:
Tl  0.0000  0.0000  0.0000  2 Tl 2.98, 4 Pt 3.05-3.07, 1 Ag 3.15
Zn  0.5066  0.7197  0.4958  2 Se 2.54-2.56, 1 Pt 2.61, 4 Ag 2.77-2.79
Ag  0.0038  0.1606  0.3567  4 Zn 2.77-2.79, 4 Pt 2.85, 2 Ag 2.98
Pt  0.5003  0.5913  0.2009  1 Zn 2.61, 4 Ag 2.85
Se  0.5134  0.2963  0.6739  2 Zn 2.54-2.56


Ranked by calculated energy, most stable first: x), w), y).


w) The following is a DFT calculation (PBE) of an optimized crystal structure of TlZnAgPtSe.

Results
- Total magnetization: 0.00 μB/cell
- Crystal system: monoclinic
- Space group: Cm (8)
- ρ: 10.01 g cm⁻³

Cell: 4.3449 4.3449 6.9619 Å, 106.40 106.40 60.46°
Closest atoms and distances in Å follow each position.
Fractional positions:
Tl  0.0000  0.0000  0.0000  3 Pt 2.80-2.82, 3 Ag 2.99-3.01
Zn  0.7619  0.7619  0.3015  3 Pt 2.61-2.63, 1 Se 2.83
Ag  0.2619  0.2619  0.7529  3 Se 2.79-2.83, 1 Pt 2.89, 3 Tl 2.99-3.01
Pt  0.3915  0.3915  0.1914  1 Se 2.48, 3 Zn 2.61-2.63
Se  0.5442  0.5442  0.5660  1 Pt 2.48


x) The following is a DFT calculation (PBE) of an optimized crystal structure of TlZnAgPtSe.

Results
- Total magnetization: 0.00 μB/cell
- Crystal system: monoclinic
- Space group: Pm (6)
- ρ: 9.82 g cm⁻³

Cell: 5.4585 4.0082 5.6059 Å, 90.00 115.99 90.00°
Closest atoms and distances in Å follow each position.
Fractional positions:
Tl  0.0000  0.0000  0.0000  2 Pt 2.72-2.74, 2 Ag 2.93-2.94
Zn  0.2803  0.5000  0.6943  2 Pt 2.55, 1 Se 2.57, 2 Ag 2.79
Ag  0.5003  0.0000  0.5007  2 Pt 2.77-2.83, 2 Zn 2.79, 2 Se 2.85, 2 Tl 2.93-2.94
Pt  0.4988  0.0000  0.9948  2 Zn 2.55, 2 Tl 2.72-2.74, 2 Se 2.77, 2 Ag 2.77-2.83
Se  0.7772  0.5000  0.3517  1 Zn 2.57, 2 Pt 2.77, 2 Ag 2.85


y) The following is a DFT calculation (PBE) of an optimized crystal structure of TlZnAgPtSe.

Results
- Total magnetization: 0.00 μB/cell
- Crystal system: triclinic
- Space group: P1 (1)
- ρ: 9.97 g cm⁻³

Cell: 4.0557 4.5577 6.8902 Å, 105.91 90.27 116.35°
Closest atoms and distances in Å follow each position.
Fractional positions:
Tl  0.0000  0.0000  0.0000  1 Zn 2.94, 2 Pt 2.99-3.01, 3 Se 3.12-3.23
Zn  0.8010  0.6070  0.2935  3 Pt 2.55-2.56, 2 Ag 2.77
Ag  0.2420  0.4864  0.5362  2 Zn 2.77, 3 Se 2.78-2.82, 3 Pt 2.91-2.92
Pt  0.4970  0.9993  0.3207  3 Zn 2.55-2.56, 1 Se 2.57
Se  0.6063  0.2088  0.7129  1 Pt 2.57, 3 Ag 2.78-2.82


z) The following is a DFT calculation (PBE) of an optimized crystal structure of TlZnAgPtSe.

Results
- Total magnetization: 0.00 μB/cell
- Crystal system: orthorhombic
- Space group: Pmm2 (25)
- ρ: 10.41 g cm⁻³

Cell: 3.8321 4.3799 6.1917 Å, 90.00 90.00 90.00°
Closest atoms and distances in Å follow each position.
Fractional positions:
Tl  0.0000  0.0000  0.0000  4 Pt 3.00, 2 Ag 3.26, 2 Zn 3.34
Zn  0.0000  0.5000  0.5930  2 Se 2.61, 2 Pt 2.63, 4 Ag 2.91
Ag  0.5000  0.0000  0.5750  2 Se 2.75, 2 Pt 2.91, 4 Zn 2.91
Pt  0.5000  0.5000  0.8840  1 Se 2.62, 2 Zn 2.63, 2 Ag 2.91
Se  0.5000  0.5000  0.3066  2 Zn 2.61, 1 Pt 2.62, 2 Ag 2.75


Ranked by calculated energy, most stable first: w), x), z), y).